No. 1
The following is a PBE calculation of Pm2Ni9Pt after structural relaxation, from Alexandria.

The structure belongs to space group R-3m (No. 166, hexagonal axes); the cell edges are 4.9363, 4.9363 and 24.2142 Å and the angles 90.00°, 90.00° and 120.00°. Symmetry generates all atoms from Pm at (0.0000, 0.0000, 0.1322), Ni at (0.0000, 0.0000, 0.3328), Ni at (0.0000, 0.0000, 0.5000), Ni at (0.0005, 0.5002, 0.0799) and Pt at (0.0000, 0.0000, 0.0000).

Its density of states at the Fermi level is 1.10 states/eV/atom. Its spin magnetization is 9.78 μB per cell. As for the calculated formation energy: -141 meV per atom.

=====

No. 2
The following is a PBE calculation of Pm8NiPt2 after structural relaxation, from Alexandria.

The structure belongs to space group C2/m (No. 12); the cell edges are 17.672, 5.044 and 6.977 Å and the angles 90.00°, 100.04° and 90.00°. Symmetry generates all atoms from Pm at (0.032, 0.000, 0.281), Pm at (0.088, 0.500, 0.945), Pm at (0.163, 0.500, 0.468), Pm at (0.204, 0.000, 0.831), Ni at (0.000, 0.500, 0.500) and Pt at (0.198, 0.000, 0.241).

Its density of states at the Fermi level is 1.02 states/eV/atom. Its spin magnetization is 0.00 μB per cell. As for the calculated formation energy: -465 meV per atom.

=====

No. 3
The following is a PBE calculation of PmNiPt2 after structural relaxation, from Alexandria.

The structure belongs to space group P4/mmm (No. 123); the cell edges are 4.103, 4.103 and 4.136 Å and the angles 90.00°, 90.00° and 90.00°. Symmetry generates all atoms from Pm at (0.000, 0.000, 0.000), Ni at (0.500, 0.500, 0.000) and Pt at (0.000, 0.500, 0.500).

Its density of states at the Fermi level is 0.82 states/eV/atom. Its spin magnetization is 0.48 μB per cell. As for the calculated formation energy: -679 meV per atom.

=====

No. 4
The following is a PBE calculation of Pm4NiPt3 after structural relaxation, from Alexandria.

The structure belongs to space group Pmm2 (No. 25); the cell edges are 3.892, 4.498 and 10.737 Å and the angles 90.00°, 90.00° and 90.00°. Symmetry generates all atoms from Pm at (0.000, 0.000, 0.000), Pm at (0.000, 0.500, 0.272), Pm at (0.500, 0.000, 0.493), Pm at (0.500, 0.500, 0.774), Ni at (0.500, 0.000, 0.213), Pt at (0.000, 0.000, 0.723), Pt at (0.000, 0.500, 0.546) and Pt at (0.500, 0.500, 0.058).

Its density of states at the Fermi level is 0.56 states/eV/atom. Its spin magnetization is 0.00 μB per cell. As for the calculated formation energy: -973 meV per atom.

=====

No. 5
The following is a PBE calculation of Pm12Ni6Pt after structural relaxation, from Alexandria.

The structure belongs to space group Im-3 (No. 204); the cell edges are 9.827, 9.827 and 9.827 Å and the angles 90.00°, 90.00° and 90.00°. Symmetry generates all atoms from Pm at (0.000, 0.300, 0.184), Ni at (0.000, 0.125, 0.500) and Pt at (0.000, 0.000, 0.000).

Its density of states at the Fermi level is 0.98 states/eV/atom. Its spin magnetization is 0.00 μB per cell. As for the calculated formation energy: -315 meV per atom.

=====

No. 6
The following is a PBE calculation of Pm12NiPt6 after structural relaxation, from Alexandria.

The structure belongs to space group R-3 (No. 148, hexagonal axes); the cell edges are 12.8028, 12.8028 and 11.9720 Å and the angles 90.00°, 90.00° and 120.00°. Symmetry generates all atoms from Pm at (0.0285, 0.8107, 0.3950), Pm at (0.0435, 0.8391, 0.8869), Ni at (0.0000, 0.0000, 0.0000) and Pt at (0.0469, 0.7820, 0.6482).

Its density of states at the Fermi level is 1.10 states/eV/atom. Its spin magnetization is 0.00 μB per cell. As for the calculated formation energy: -740 meV per atom.

=====

No. 7
The following is a PBE calculation of Pm5Ni2Pt12 after structural relaxation, from Alexandria.

The structure belongs to space group C2/m (No. 12); the cell edges are 15.138, 7.239 and 6.729 Å and the angles 90.00°, 93.74° and 90.00°. Symmetry generates all atoms from Pm at (0.000, 0.000, 0.000), Pm at (0.187, 0.500, 0.551), Pm at (0.242, 0.000, 0.929), Ni at (0.000, 0.305, 0.500), Pt at (0.056, 0.500, 0.195), Pt at (0.100, 0.299, 0.850), Pt at (0.112, 0.000, 0.593) and Pt at (0.143, 0.186, 0.255).

Its density of states at the Fermi level is 0.62 states/eV/atom. Its spin magnetization is 0.02 μB per cell. As for the calculated formation energy: -775 meV per atom.

=====

No. 8
The following is a PBE calculation of Pm2Ni2Pt15 after structural relaxation, from Alexandria.

The structure belongs to space group R-3m (No. 166, hexagonal axes); the cell edges are 9.2292, 9.2292 and 13.4424 Å and the angles 90.00°, 90.00° and 120.00°. Symmetry generates all atoms from Pm at (0.0000, 0.0000, 0.1643), Ni at (0.0000, 0.0000, 0.4057), Pt at (0.0000, 0.3071, 0.5000), Pt at (0.0000, 0.5000, 0.0000) and Pt at (0.9995, 0.4998, 0.3444).

Its density of states at the Fermi level is 1.21 states/eV/atom. Its spin magnetization is 4.44 μB per cell. As for the calculated formation energy: -383 meV per atom.

=====

calculated formation energy of number 4 (Pm4NiPt3)?
-973 meV per atom

=====

Look up the spin magnetization of the seventh one.
0.02 μB per cell

=====

Number 7 is which compound?
Pm5Ni2Pt12

=====

Among the records above, which one has the highest calculated formation energy?
Pm2Ni9Pt